MnIr2Ru GGA-PBEsol optimized geometry; E = -9.94 eV/atom; symmetry = Cm (8); crystal system = monoclinic
1.0
2.661 0.000 0.000
-1.330 4.390 -0.005
0.000 -0.827 4.509
Ru Mn Ir
1 1 2
Direct
0.752 0.505 0.253
0.500 0.000 0.500
0.247 0.494 0.741
0.001 0.001 0.006

=====

MnIr2Ru GGA-PBEsol optimized geometry; E = -9.91 eV/atom; symmetry = R-3m (166); crystal system = trigonal
1.0
2.658 0.000 0.000
1.329 2.302 0.000
1.329 0.767 8.559
Mn Ir Ru
1 2 1
Direct
0.500 0.500 0.500
0.753 0.753 0.741
0.247 0.247 0.259
0.000 0.000 0.000

=====

MnIr2Ru GGA-PBEsol optimized geometry; E = -9.96 eV/atom; symmetry = I-4m2 (119); crystal system = tetragonal
1.0
-2.914 -0.114 -2.351
-2.063 -1.680 2.636
1.350 4.253 1.105
Ru Mn Ir
1 1 2
Direct
0.250 0.750 0.500
0.500 0.500 0.000
0.000 0.000 0.000
0.750 0.250 0.500

=====

MnTlIrRu2 GGA-PBEsol optimized geometry; E = -7.10 eV/atom; symmetry = P4/mmm (123); crystal system = tetragonal
1.0
-0.758 2.271 -3.989
-1.823 -3.859 -1.851
-4.277 1.280 1.541
Ru Tl Mn Ir
2 1 1 1
Direct
0.000 0.500 0.000
0.500 0.000 0.000
0.500 0.500 0.500
0.000 0.000 0.500
0.000 0.000 0.000

=====

MnSbIr GGA-PBEsol optimized geometry; E = -8.15 eV/atom; symmetry = F-43m (216); ΔE_f (raw) = -0.107 eV per atom; crystal system = cubic
1.0
-4.148 0.918 0.354
-2.069 -0.851 3.630
-1.269 3.190 2.528
Sb Ir Mn
1 1 1
Direct
0.500 0.500 0.500
0.250 0.250 0.250
0.000 0.000 0.000

=====

MnSb2Ir GGA-PBEsol optimized geometry; E = -6.86 eV/atom; symmetry = I-4m2 (119); excess energy over the best structure of this formula in the dataset = 0 meV per atom; ΔE_f (raw) = 0.319 eV per atom; crystal system = tetragonal
1.0
-2.622 1.898 -2.208
1.173 -2.031 -3.139
-2.497 -3.271 3.630
Mn Sb Ir
1 2 1
Direct
0.250 0.750 0.500
0.000 0.000 0.000
0.750 0.250 0.500
0.500 0.500 0.000

=====

MnSb2Ir GGA-PBEsol optimized geometry; E = -6.63 eV/atom; symmetry = I-42d (122); excess energy over the best structure of this formula in the dataset = 225 meV per atom; ΔE_f (raw) = 0.545 eV per atom; crystal system = tetragonal
1.0
5.913 0.000 0.000
0.000 5.913 0.000
-2.957 -2.957 5.989
Sb Mn Ir
4 2 2
Direct
0.888 0.375 0.250
0.625 0.638 0.750
0.362 0.875 0.250
0.125 0.112 0.750
0.750 0.250 0.500
0.500 0.500 0.000
0.250 0.750 0.500
0.000 0.000 0.000

=====

MnSbIr2 GGA-PBEsol optimized geometry; E = -8.17 eV/atom; symmetry = F-43m (216); ΔE_f (raw) = 0.322 eV per atom; crystal system = cubic
1.0
-0.231 3.988 1.909
0.331 0.371 4.400
3.619 1.804 1.804
Sb Ir Mn
1 2 1
Direct
0.250 0.250 0.250
0.000 0.000 0.000
0.750 0.750 0.750
0.500 0.500 0.500

=====

MnSbIr4 GGA-PBEsol optimized geometry; E = -8.52 eV/atom; symmetry = F-43m (216); ΔE_f (raw) = 0.414 eV per atom; crystal system = cubic
1.0
-4.267 -1.158 -2.737
-3.432 -3.433 1.863
-4.661 1.614 1.644
Ir Mn Sb
4 1 1
Direct
0.375 0.375 0.874
0.375 0.375 0.375
0.375 0.874 0.375
0.874 0.375 0.375
0.750 0.750 0.750
0.000 0.000 0.000

=====

Sc2MnIr GGA-PBEsol optimized geometry; E = -8.55 eV/atom; symmetry = Imm2 (44); crystal system = orthorhombic
1.0
3.130 0.000 0.000
0.000 4.492 0.000
-1.565 -2.246 4.808
Sc Ir Mn
2 1 1
Direct
0.774 0.274 0.549
0.991 0.991 0.983
0.511 0.511 0.022
0.223 0.723 0.447

=====

Sc2MnIr GGA-PBEsol optimized geometry; E = -8.07 eV/atom; symmetry = R3m (160); crystal system = trigonal
1.0
-1.560 -2.455 0.783
1.023 -2.734 -0.742
4.378 -2.140 7.806
Ir Sc Mn
1 2 1
Direct
0.503 0.503 0.490
0.991 0.991 0.027
0.762 0.762 0.713
0.243 0.243 0.270

=====

ScMnIr3 GGA-PBEsol optimized geometry; E = -8.50 eV/atom; symmetry = Pm-3m (221); crystal system = cubic
1.0
-2.888 2.138 -2.583
-3.243 -0.915 2.869
0.852 3.765 2.163
Mn Ir Sc
1 3 1
Direct
0.000 0.000 0.000
0.500 0.000 0.000
0.000 0.000 0.500
0.000 0.500 0.000
0.500 0.500 0.500

=====

Sc2MnIr GGA-PBEsol optimized geometry; E = -7.92 eV/atom; symmetry = R-3m (166); crystal system = trigonal
1.0
2.911 0.000 0.000
1.455 2.521 0.000
1.455 0.840 9.174
Mn Sc Ir
1 2 1
Direct
0.500 0.500 0.500
0.090 0.090 0.731
0.910 0.910 0.269
0.000 0.000 0.000

=====

Sc2MnIr GGA-PBEsol optimized geometry; E = -8.36 eV/atom; symmetry = P4mm (99); crystal system = tetragonal
1.0
-0.997 1.301 -2.337
2.215 -0.997 -1.500
-4.311 -6.719 -1.901
Mn Sc Ir
1 2 1
Direct
0.500 0.500 0.719
0.500 0.500 0.296
0.000 0.000 0.945
0.000 0.000 0.540

=====

ScMnIr2 GGA-PBEsol optimized geometry; E = -9.30 eV/atom; symmetry = Cm (8); crystal system = monoclinic
1.0
2.845 0.000 0.000
0.000 4.565 0.017
-1.422 -0.919 4.554
Sc Ir Mn
1 2 1
Direct
0.746 0.243 0.492
0.250 0.742 0.499
0.993 0.988 0.985
0.512 0.527 0.024

=====

Sc2TiMnIr GGA-PBEsol optimized geometry; E = -7.82 eV/atom; symmetry = P4/mmm (123); crystal system = tetragonal
1.0
-0.901 4.360 -0.487
-3.501 -1.033 -2.764
-2.803 -0.175 3.616
Ir Mn Sc Ti
1 1 2 1
Direct
0.500 0.000 0.000
0.000 0.000 0.000
0.000 0.500 0.000
0.000 0.000 0.500
0.500 0.500 0.500

=====

MnIr3Se GGA-PBEsol optimized geometry; E = -7.04 eV/atom; symmetry = Pm-3m (221); ΔE_f (raw) = 1.574 eV per atom; crystal system = cubic
1.0
4.427 0.000 0.000
0.000 4.427 0.000
0.000 0.000 4.427
Ir Se Mn
3 1 1
Direct
0.000 0.500 0.000
0.000 0.000 0.500
0.500 0.000 0.000
0.500 0.500 0.500
0.000 0.000 0.000

=====

Mn2Ir2Se GGA-PBEsol optimized geometry; E = -8.21 eV/atom; symmetry = I4/mmm (139); ΔE_f (raw) = 0.394 eV per atom; crystal system = tetragonal
1.0
3.289 0.000 0.000
0.000 3.289 0.000
-1.645 -1.645 6.475
Se Mn Ir
1 2 2
Direct
0.000 0.000 0.000
0.250 0.750 0.500
0.750 0.250 0.500
0.607 0.607 0.213
0.393 0.393 0.787

=====

MnSiIr GGA-PBEsol optimized geometry; E = -8.81 eV/atom; symmetry = P-6m2 (187); ΔE_f (raw) = -0.370 eV per atom; crystal system = hexagonal
1.0
2.802 0.000 0.000
0.000 4.069 0.000
0.000 -2.034 3.524
Mn Si Ir
1 1 1
Direct
0.000 0.667 0.333
0.500 0.333 0.667
0.500 0.000 0.000

=====

Mn2SiIr GGA-PBEsol optimized geometry; E = -9.07 eV/atom; symmetry = Cm (8); ΔE_f (raw) = -0.301 eV per atom; crystal system = monoclinic
1.0
-1.834 -0.948 -1.869
-2.626 -1.215 3.193
-0.144 4.457 -0.045
Ir Mn Si
1 2 1
Direct
0.240 0.694 0.480
0.752 0.196 0.505
0.012 0.072 0.025
0.496 0.537 0.991